## K3Tm2MnO6 (GGA+U)

Data for K3Tm2MnO6 after structural relaxation.

Summary:
M_tot   4.000 Bohr magnetons per cell

a b c (Å): 5.817 5.817 6.475
angles (deg): 98.13 98.13 121.06
Fractional coordinates of all 12 atoms:
K: 0.000 0.000 0.000
K: 0.337 0.663 0.000
K: 0.663 0.337 0.000
Tm: 0.170 0.830 0.500
Tm: 0.830 0.170 0.500
Mn: 0.500 0.500 0.500
O: 0.107 0.438 0.311
O: 0.254 0.254 0.667
O: 0.438 0.107 0.311
O: 0.562 0.893 0.689
O: 0.746 0.746 0.333
O: 0.893 0.562 0.689

## K2U3MnO12 (GGA+U)

Data for K2U3MnO12 after structural relaxation.

Summary:
M_tot   2.973 Bohr magnetons per cell

a b c (Å): 7.448 7.448 7.448
angles (deg): 63.75 63.75 63.75
Fractional coordinates of all 18 atoms:
K: 0.140 0.140 0.140
K: 0.860 0.860 0.860
U: 0.000 0.500 0.500
U: 0.500 0.000 0.500
U: 0.500 0.500 0.000
Mn: 0.500 0.500 0.500
O: 0.174 0.174 0.555
O: 0.174 0.555 0.174
O: 0.206 0.557 0.557
O: 0.443 0.443 0.794
O: 0.443 0.794 0.443
O: 0.445 0.826 0.826
O: 0.555 0.174 0.174
O: 0.557 0.206 0.557
O: 0.557 0.557 0.206
O: 0.794 0.443 0.443
O: 0.826 0.445 0.826
O: 0.826 0.826 0.445

## K2UMnO6 (GGA+U)

Data for K2UMnO6 after structural relaxation.

Summary:
M_tot   2.966 Bohr magnetons per cell

a b c (Å): 5.738 5.738 5.738
angles (deg): 60.00 60.00 60.00
Fractional coordinates of all 10 atoms:
K: 0.250 0.250 0.250
K: 0.750 0.750 0.750
U: 0.000 0.000 0.000
Mn: 0.500 0.500 0.500
O: 0.257 0.257 0.743
O: 0.257 0.743 0.257
O: 0.257 0.743 0.743
O: 0.743 0.257 0.257
O: 0.743 0.257 0.743
O: 0.743 0.743 0.257

## KUMnO6 (GGA+U)

Data for KUMnO6 after structural relaxation.

Summary:
M_tot   1.971 Bohr magnetons per cell

a b c (Å): 5.371 5.371 5.968
angles (deg): 90.04 90.04 120.04
Fractional coordinates of all 9 atoms:
K: 0.000 0.000 0.000
U: 0.667 0.333 0.500
Mn: 0.333 0.667 0.500
O: 0.018 0.387 0.321
O: 0.019 0.631 0.679
O: 0.369 0.981 0.321
O: 0.370 0.388 0.680
O: 0.612 0.630 0.320
O: 0.613 0.982 0.679

## K3UMn2O9 (GGA+U)

Data for K3UMn2O9 after structural relaxation.

Summary:
M_tot   7.022 Bohr magnetons per cell

a b c (Å): 5.644 5.644 6.978
angles (deg): 90.00 90.00 120.00
Fractional coordinates of all 15 atoms:
K: 0.000 0.000 0.000
K: 0.333 0.667 0.680
K: 0.667 0.333 0.320
U: 0.000 0.000 0.500
Mn: 0.333 0.667 0.158
Mn: 0.667 0.333 0.842
O: 0.000 0.500 0.000
O: 0.172 0.344 0.325
O: 0.172 0.828 0.325
O: 0.344 0.172 0.675
O: 0.500 0.000 0.000
O: 0.500 0.500 0.000
O: 0.656 0.828 0.325
O: 0.828 0.172 0.675
O: 0.828 0.656 0.675

## KMnVO4 (GGA+U)

Data for KMnVO4 after structural relaxation.

Summary:
M_tot   10.000 Bohr magnetons per cell

a b c (Å): 5.609 5.926 7.182
angles (deg): 90.00 106.81 90.00
Fractional coordinates of all 14 atoms:
K: 0.226 0.250 0.447
K: 0.774 0.750 0.553
Mn: 0.317 0.250 0.972
Mn: 0.683 0.750 0.028
V: 0.225 0.750 0.147
V: 0.775 0.250 0.853
O: 0.025 0.750 0.292
O: 0.032 0.750 0.915
O: 0.435 0.520 0.180
O: 0.435 0.980 0.180
O: 0.565 0.020 0.820
O: 0.565 0.480 0.820
O: 0.968 0.250 0.085
O: 0.975 0.250 0.708

## K2MnV2O7 (GGA+U)

Data for K2MnV2O7 after structural relaxation.

Summary:
M_tot   10.000 Bohr magnetons per cell

a b c (Å): 8.758 8.758 5.665
angles (deg): 90.00 90.00 90.00
Fractional coordinates of all 24 atoms:
K: 0.163 0.337 0.010
K: 0.337 0.837 0.990
K: 0.663 0.163 0.990
K: 0.837 0.663 0.010
Mn: 0.000 0.000 0.500
Mn: 0.500 0.500 0.500
V: 0.140 0.640 0.557
V: 0.360 0.140 0.443
V: 0.640 0.860 0.443
V: 0.860 0.360 0.557
O: 0.000 0.500 0.661
O: 0.088 0.815 0.677
O: 0.145 0.645 0.260
O: 0.185 0.088 0.323
O: 0.315 0.588 0.677
O: 0.355 0.145 0.740
O: 0.412 0.315 0.323
O: 0.500 0.000 0.339
O: 0.588 0.685 0.323
O: 0.645 0.855 0.740
O: 0.685 0.412 0.677
O: 0.815 0.912 0.323
O: 0.855 0.355 0.260
O: 0.912 0.185 0.677

## K2MnVO5 (GGA+U)

Data for K2MnVO5 after structural relaxation.

Summary:
M_tot   8.000 Bohr magnetons per cell

a b c (Å): 7.281 7.281 13.211
angles (deg): 90.00 90.00 150.20
Fractional coordinates of all 18 atoms:
K: 0.105 0.895 0.500
K: 0.107 0.893 0.223
K: 0.893 0.107 0.723
K: 0.895 0.105 0.000
Mn: 0.222 0.778 0.854
Mn: 0.778 0.222 0.354
V: 0.380 0.620 0.217
V: 0.620 0.380 0.717
O: 0.110 0.890 0.759
O: 0.292 0.708 0.132
O: 0.311 0.689 0.355
O: 0.348 0.652 0.868
O: 0.483 0.517 0.149
O: 0.517 0.483 0.649
O: 0.652 0.348 0.368
O: 0.689 0.311 0.855
O: 0.708 0.292 0.632
O: 0.890 0.110 0.259

| no. | final energy (eV per atom) |
| --- | --- |
| 1 | -6.475 |
| 2 | -8.342 |
| 3 | -7.299 |
| 4 | -7.579 |
| 5 | -6.769 |
| 6 | -6.980 |
| 7 | -6.928 |
| 8 | -6.373 |